#1
Density functional theory data (GGA-PBE) for crystalline Zn3Te at its relaxed geometry.

```
Zn3Te
1.0
3.2830 -6.0402 0.0000
3.2830 6.0402 0.0000
0.0000 0.0000 4.1865
Zn Te
6 2
direct
0.0600 0.3455 0.7500
0.0616 0.9384 0.7500
0.3455 0.0600 0.2500
0.6545 0.9400 0.7500
0.9384 0.0616 0.2500
0.9400 0.6545 0.2500
0.3549 0.6451 0.2500
0.6451 0.3549 0.7500
```

Results
- Symmetry: No. 63
- ρ: 6.48 g cm⁻³
- V: 20.8 Å³/atom

---

#2
Density functional theory data (GGA-PBE) for crystalline Zn3Te at its relaxed geometry.

```
Zn3Te
1.0
6.2916 0.0000 0.0000
0.0000 4.5072 0.0000
-3.1393 0.0000 5.4825
Zn Te
6 2
direct
0.1479 0.2500 0.2963
0.1479 0.2500 0.8517
0.2962 0.7500 0.1481
0.7038 0.2500 0.8519
0.8521 0.7500 0.1483
0.8521 0.7500 0.7037
0.3342 0.7500 0.6687
0.6658 0.2500 0.3313
```

Results
- Symmetry: No. 11
- ρ: 6.92 g cm⁻³
- V: 19.4 Å³/atom

---

Relative energy of each structure, in eV/atom: #1 0.000; #2 0.131.

---

#1
Density functional theory data (GGA-PBE) for crystalline Th at its relaxed geometry.

```
Th
1.0
-6.1906 6.1906 6.1906
6.1906 -6.1906 6.1906
6.1906 6.1906 -6.1906
Th
29
direct
0.0000 0.0000 0.0000
0.0000 0.0000 0.6304
0.0000 0.1882 0.3704
0.0000 0.3704 0.1882
0.0000 0.3880 0.6773
0.0000 0.6304 0.0000
0.0000 0.6773 0.3880
0.1822 0.8118 0.8118
0.1882 0.0000 0.3704
0.1882 0.3704 0.0000
0.2893 0.6120 0.6120
0.3227 0.3227 0.7107
0.3227 0.7107 0.3227
0.3704 0.0000 0.1882
0.3704 0.1882 0.0000
0.3696 0.3696 0.3696
0.3880 0.0000 0.6773
0.3880 0.6773 0.0000
0.6120 0.2893 0.6120
0.6120 0.6120 0.2893
0.6304 0.0000 0.0000
0.6296 0.6296 0.8178
0.6296 0.8178 0.6296
0.6773 0.0000 0.3880
0.6773 0.3880 0.0000
0.7107 0.3227 0.3227
0.8118 0.1822 0.8118
0.8118 0.8118 0.1822
0.8178 0.6296 0.6296
```

Results
- Symmetry: No. 217
- ρ: 11.77 g cm⁻³
- V: 32.7 Å³/atom

---

#2
Density functional theory data (GGA-PBE) for crystalline Th at its relaxed geometry.

```
Th
1.0
-1.7850 1.7850 2.4949
1.7850 -1.7850 2.4949
1.7850 1.7850 -2.4949
Th
1
direct
0.0000 0.0000 0.0000
```

Results
- Symmetry: No. 139
- ρ: 12.12 g cm⁻³
- V: 31.8 Å³/atom

---

#3
Density functional theory data (GGA-PBE) for crystalline Th at its relaxed geometry.

```
Th
1.0
1.7795 1.0274 8.8610
-1.7795 1.0274 8.8610
0.0000 -2.0548 8.8610
Th
3
direct
0.0000 0.0000 0.0000
0.2222 0.2222 0.2222
0.7778 0.7778 0.7778
```

Results
- Symmetry: No. 166
- ρ: 11.89 g cm⁻³
- V: 32.4 Å³/atom

---

Relative energy of each structure, in eV/atom: #1 0.096; #2 0.000; #3 0.037.

---

#1
Density functional theory data (GGA-PBE) for crystalline Th at its relaxed geometry.

```
Th
1.0
0.0000 2.5213 2.5213
2.5213 0.0000 2.5213
2.5213 2.5213 0.0000
Th
1
direct
0.0000 0.0000 0.0000
```

Results
- Symmetry: No. 225
- ρ: 12.02 g cm⁻³
- V: 32.1 Å³/atom

---

#2
Density functional theory data (GGA-PBE) for crystalline Th at its relaxed geometry.

```
Th
1.0
8.6901 0.0000 0.0000
0.0000 8.6901 0.0000
0.0000 0.0000 8.6901
Th
20
direct
0.0482 0.1250 0.7982
0.0670 0.9330 0.4330
0.1250 0.7982 0.0482
0.1830 0.1830 0.1830
0.2018 0.5482 0.3750
0.2982 0.4518 0.8750
0.3170 0.8170 0.6830
0.3750 0.2018 0.5482
0.4330 0.0670 0.9330
0.4518 0.8750 0.2982
0.5482 0.3750 0.2018
0.5670 0.5670 0.5670
0.6250 0.7018 0.9518
0.6830 0.3170 0.8170
0.7018 0.9518 0.6250
0.7982 0.0482 0.1250
0.8170 0.6830 0.3170
0.8750 0.2982 0.4518
0.9330 0.4330 0.0670
0.9518 0.6250 0.7018
```

Results
- Symmetry: No. 213
- ρ: 11.74 g cm⁻³
- V: 32.8 Å³/atom

---

Relative energy of each structure, in eV/atom: #1 0.000; #2 0.102.

---

#1
Density functional theory data (GGA-PBE) for crystalline Th at its relaxed geometry.

```
Th
1.0
-2.0104 2.0104 2.0104
2.0104 -2.0104 2.0104
2.0104 2.0104 -2.0104
Th
1
direct
0.0000 0.0000 0.0000
```

Results
- Symmetry: No. 229
- ρ: 11.85 g cm⁻³
- V: 32.5 Å³/atom

---

#2
Density functional theory data (GGA-PBE) for crystalline Th at its relaxed geometry.

```
Th
1.0
0.0000 2.5032 5.9400
2.3243 0.0000 5.9400
2.3243 2.5032 0.0000
Th
2
direct
0.1405 0.1405 0.8595
0.8595 0.8595 0.1405
```

Results
- Symmetry: No. 69
- ρ: 11.15 g cm⁻³
- V: 34.6 Å³/atom

---

#3
Density functional theory data (GGA-PBE) for crystalline Th at its relaxed geometry.

```
Th
1.0
6.4017 0.0000 0.0000
0.0000 6.4017 0.0000
0.0000 0.0000 6.4017
Th
8
direct
0.0000 0.0000 0.0000
0.0000 0.2500 0.5000
0.0000 0.7500 0.5000
0.2500 0.5000 0.0000
0.5000 0.0000 0.2500
0.5000 0.0000 0.7500
0.5000 0.5000 0.5000
0.7500 0.5000 0.0000
```

Results
- Symmetry: No. 223
- ρ: 11.75 g cm⁻³
- V: 32.8 Å³/atom

---

Relative energy of each structure, in eV/atom: #1 0.013; #2 0.233; #3 0.000.

---

#1
Density functional theory data (GGA-PBE) for crystalline Th at its relaxed geometry.

```
Th
1.0
0.0000 3.5673 3.5673
3.5673 0.0000 3.5673
3.5673 3.5673 0.0000
Th
2
direct
0.1250 0.1250 0.1250
0.8750 0.8750 0.8750
```

Results
- Symmetry: No. 227
- ρ: 8.49 g cm⁻³
- V: 45.4 Å³/atom

---

#2
Density functional theory data (GGA-PBE) for crystalline Th at its relaxed geometry.

```
Th
1.0
5.0797 0.0000 0.0000
-2.5398 4.3991 0.0000
0.0000 0.0000 5.8650
Th
4
direct
0.0000 0.0000 0.2500
0.0000 0.0000 0.7500
0.3333 0.6667 0.2500
0.6667 0.3333 0.7500
```

Results
- Symmetry: No. 194
- ρ: 11.76 g cm⁻³
- V: 32.8 Å³/atom

---

#3
Density functional theory data (GGA-PBE) for crystalline Th at its relaxed geometry.

```
Th
1.0
1.7817 1.0286 2.8953
-1.7817 1.0286 2.8953
0.0000 -2.0573 2.8953
Th
1
direct
0.0000 0.0000 0.0000
```

Results
- Symmetry: No. 166
- ρ: 12.10 g cm⁻³
- V: 31.8 Å³/atom

---

#4
Density functional theory data (GGA-PBE) for crystalline Th at its relaxed geometry.

```
Th
1.0
3.5765 0.0000 0.0000
-1.7883 3.0974 0.0000
0.0000 0.0000 11.6910
Th
4
direct
0.0000 0.0000 0.0000
0.0000 0.0000 0.5000
0.3333 0.6667 0.2500
0.6667 0.3333 0.7500
```

Results
- Symmetry: No. 194
- ρ: 11.90 g cm⁻³
- V: 32.4 Å³/atom

---

Relative energy of each structure, in eV/atom: #1 1.947; #2 1.305; #3 0.000; #4 0.030.

---

#1
Density functional theory data (GGA-PBE) for crystalline Th at its relaxed geometry.

```
Th
1.0
1.7627 -3.0753 0.0000
1.7627 3.0753 0.0000
0.0000 0.0000 5.9759
Th
2
direct
0.1572 0.8428 0.7500
0.8428 0.1572 0.2500
```

Results
- Symmetry: No. 63
- ρ: 11.89 g cm⁻³
- V: 32.4 Å³/atom

---

#2
Density functional theory data (GGA-PBE) for crystalline Th at its relaxed geometry.

```
Th
1.0
2.9628 -6.3614 0.0000
2.9628 6.3614 0.0000
0.0000 0.0000 3.5193
Th
4
direct
0.1313 0.8687 0.9993
0.3687 0.6313 0.4993
0.6313 0.3687 0.5007
0.8687 0.1313 0.0007
```

Results
- Symmetry: No. 64
- ρ: 11.62 g cm⁻³
- V: 33.2 Å³/atom

---

Relative energy of each structure, in eV/atom: #1 0.000; #2 0.205.

---

#1
Density functional theory data (GGA-PBE) for crystalline ThU at its relaxed geometry.

```
ThU
1.0
0.0000 3.1737 3.1737
3.1737 0.0000 3.1737
3.1737 3.1737 0.0000
Th U
1 1
direct
0.0000 0.0000 0.0000
0.7500 0.7500 0.7500
```

Results
- Symmetry: No. 216
- ρ: 12.21 g cm⁻³
- V: 32.0 Å³/atom

---

#2
Density functional theory data (GGA-PBE) for crystalline ThU at its relaxed geometry.

```
ThU
1.0
0.0000 2.9396 2.9396
2.9396 0.0000 2.9396
2.9396 2.9396 0.0000
Th U
1 1
direct
0.0000 0.0000 0.0000
0.5000 0.5000 0.5000
```

Results
- Symmetry: No. 225
- ρ: 15.36 g cm⁻³
- V: 25.4 Å³/atom

---

Relative energy of each structure, in eV/atom: #1 1.043; #2 0.000.

---

#1
Density functional theory data (GGA-PBE) for crystalline ThW at its relaxed geometry.

```
ThW
1.0
0.0000 2.9508 2.9508
2.9508 0.0000 2.9508
2.9508 2.9508 0.0000
Th W
1 1
direct
0.0000 0.0000 0.0000
0.5000 0.5000 0.5000
```

Results
- Symmetry: No. 225
- ρ: 13.44 g cm⁻³
- V: 25.7 Å³/atom

---

#2
Density functional theory data (GGA-PBE) for crystalline ThW at its relaxed geometry.

```
ThW
1.0
3.1842 0.0000 0.0000
-1.5921 2.7576 0.0000
0.0000 0.0000 5.1727
Th W
1 1
direct
0.0000 0.0000 0.0000
0.6667 0.3333 0.5000
```

Results
- Symmetry: No. 187
- ρ: 15.20 g cm⁻³
- V: 22.7 Å³/atom

---

Relative energy of each structure, in eV/atom: #1 0.377; #2 0.000.

---

#1
Density functional theory data (GGA-PBE) for crystalline YTh at its relaxed geometry.

```
YTh
1.0
3.5516 0.0000 0.0000
-1.7758 3.0758 0.0000
0.0000 0.0000 5.9080
Y Th
1 1
direct
0.0000 0.0000 0.0000
0.3333 0.6667 0.5000
```

Results
- Symmetry: No. 187
- ρ: 8.26 g cm⁻³
- V: 32.3 Å³/atom

---

#2
Density functional theory data (GGA-PBE) for crystalline YTh at its relaxed geometry.

```
YTh
1.0
0.0000 3.2759 3.2759
3.2759 0.0000 3.2759
3.2759 3.2759 0.0000
Y Th
1 1
direct
0.0000 0.0000 0.0000
0.5000 0.5000 0.5000
```

Results
- Symmetry: No. 225
- ρ: 7.58 g cm⁻³
- V: 35.2 Å³/atom

---

#3
Density functional theory data (GGA-PBE) for crystalline YTh at its relaxed geometry.

```
YTh
1.0
0.0000 3.4591 3.4591
3.4591 0.0000 3.4591
3.4591 3.4591 0.0000
Y Th
1 1
direct
0.0000 0.0000 0.0000
0.2500 0.2500 0.2500
```

Results
- Symmetry: No. 216
- ρ: 6.44 g cm⁻³
- V: 41.4 Å³/atom

---

Relative energy of each structure, in eV/atom: #1 0.000; #2 0.911; #3 2.027.

---

#1
Density functional theory data (GGA-PBE) for crystalline Y2Th at its relaxed geometry.

```
Y2Th
1.0
0.0000 6.6152 6.6152
6.6152 0.0000 6.6152
6.6152 6.6152 0.0000
Y Th
4 2
direct
0.0000 0.0000 0.0000
0.0000 0.0000 0.5000
0.0000 0.5000 0.0000
0.5000 0.0000 0.0000
0.1250 0.1250 0.1250
0.8750 0.8750 0.8750
```

Results
- Symmetry: No. 227
- ρ: 2.35 g cm⁻³
- V: 96.5 Å³/atom

---

#2
Density functional theory data (GGA-PBE) for crystalline Y2Th at its relaxed geometry.

```
Y2Th
1.0
1.8019 1.0404 8.5643
-1.8019 1.0404 8.5643
0.0000 -2.0807 8.5643
Y Th
2 1
direct
0.2241 0.2241 0.2241
0.7759 0.7759 0.7759
0.0000 0.0000 0.0000
```

Results
- Symmetry: No. 166
- ρ: 7.06 g cm⁻³
- V: 32.1 Å³/atom

---

Relative energy of each structure, in eV/atom: #1 2.549; #2 0.000.

---

#1
Density functional theory data (GGA-PBE) for crystalline Th3Zn4 at its relaxed geometry.

```
Th3Zn4
1.0
9.0113 0.0000 0.0000
-4.5056 7.8040 0.0000
0.0000 0.0000 4.6298
Th Zn
6 8
direct
0.0892 0.4363 0.2500
0.3471 0.9108 0.2500
0.4363 0.3471 0.7500
0.5637 0.6529 0.2500
0.6529 0.0892 0.7500
0.9108 0.5637 0.7500
0.0330 0.1929 0.7500
0.1599 0.9670 0.7500
0.1929 0.1599 0.2500
0.3333 0.6667 0.7500
0.6667 0.3333 0.2500
0.8071 0.8401 0.7500
0.8401 0.0330 0.2500
0.9670 0.8071 0.2500
```

Results
- Symmetry: No. 176
- ρ: 9.77 g cm⁻³
- V: 23.3 Å³/atom

---

#2
Density functional theory data (GGA-PBE) for crystalline Th3Zn4 at its relaxed geometry.

```
Th3Zn4
1.0
4.7694 -8.2666 0.0000
4.7694 8.2666 0.0000
0.0000 0.0000 4.0880
Th Zn
6 8
direct
0.1560 0.3128 0.7500
0.1577 0.8423 0.7500
0.3128 0.1560 0.2500
0.6872 0.8440 0.7500
0.8423 0.1577 0.2500
0.8440 0.6872 0.2500
0.1082 0.5537 0.2500
0.3341 0.6659 0.7500
0.4464 0.5536 0.2500
0.4463 0.8918 0.2500
0.5537 0.1082 0.7500
0.5536 0.4464 0.7500
0.6659 0.3341 0.2500
0.8918 0.4463 0.7500
```

Results
- Symmetry: No. 63
- ρ: 9.87 g cm⁻³
- V: 23.0 Å³/atom

---

Relative energy of each structure, in eV/atom: #1 0.000; #2 0.085.